No. 1
DFT (PBE-GGA) results for an optimized crystal structure of Tc2OF.

Cell: 4.048 4.048 4.048 Å, 60.00 60.00 60.00°
Sites, in units of the cell vectors:
Tc: 0.250 0.250 0.250
Tc: 0.750 0.750 0.750
O: 0.000 0.000 0.000
F: 0.500 0.500 0.500

Values from the calculation:
DFT total energy: -25.89 eV per cell
magnetization: 4.2 μB per formula unit
energy relative to the lowest polymorph listed for this composition: 0.7917 eV/atom
density: 8.177 g cm⁻³
raw formation energy: 0.419 eV/atom



No. 2
DFT (PBE-GGA) results for an optimized crystal structure of CaRuPt2.

Cell: 3.374 3.374 6.430 Å, 90.00 90.00 90.00°
Sites, in units of the cell vectors:
Ca: 0.000 0.000 0.000
Ru: 0.500 0.500 0.689
Pt: 0.000 0.000 0.513
Pt: 0.500 0.500 0.272

Values from the calculation:
DFT total energy: -23.37 eV per cell
energy of formation: -1 kJ/mol of formula units
magnetization: 0.9 μB per formula unit
energy relative to the lowest polymorph listed for this composition: 0.2570 eV/atom
density: 12.051 g cm⁻³



No. 3
DFT (PBE-GGA) results for an optimized crystal structure of PaNbS4.

Cell: 6.513 5.998 7.241 Å, 90.00 90.00 90.00°
Sites, in units of the cell vectors:
Pa: 0.000 0.000 0.000
Pa: 0.000 0.500 0.500
Nb: 0.500 0.000 0.763
Nb: 0.500 0.500 0.263
S: 0.191 0.239 0.745
S: 0.191 0.261 0.245
S: 0.343 0.748 0.493
S: 0.343 0.752 0.993
S: 0.657 0.248 0.993
S: 0.657 0.252 0.493
S: 0.809 0.739 0.245
S: 0.809 0.761 0.745

Values from the calculation:
DFT total energy: -86.25 eV per cell
magnetization: 2.0 μB per formula unit
energy relative to the lowest polymorph listed for this composition: 0.0995 eV/atom
density: 5.309 g cm⁻³
raw formation energy: -1.175 eV/atom



No. 4
DFT (PBE-GGA) results for an optimized crystal structure of CeGdSnAu.

Cell: 5.320 5.320 5.320 Å, 60.00 60.00 60.00°
Sites, in units of the cell vectors:
Ce: 0.000 0.000 0.000
Gd: 0.500 0.500 0.500
Sn: 0.250 0.250 0.250
Au: 0.750 0.750 0.750

Values from the calculation:
DFT total energy: -29.91 eV per cell
energy of formation: -253 kJ/mol of formula units
magnetization: 9.0 μB per formula unit
density: 9.560 g cm⁻³



No. 5
DFT (PBE-GGA) results for an optimized crystal structure of NiSI3.

Cell: 5.197 5.197 5.197 Å, 90.00 90.00 90.00°
Sites, in units of the cell vectors:
Ni: 0.000 0.000 0.000
S: 0.500 0.500 0.500
I: 0.000 0.000 0.500
I: 0.000 0.500 0.000
I: 0.500 0.000 0.000

Values from the calculation:
DFT total energy: -11.61 eV per cell
magnetization: 0.0 μB per formula unit
energy relative to the lowest polymorph listed for this composition: 0.0000 eV/atom
density: 5.577 g cm⁻³
raw formation energy: 0.590 eV/atom



No. 6
DFT (PBE-GGA) results for an optimized crystal structure of EuGaAu4.

Cell: 5.649 5.649 5.649 Å, 60.00 60.00 60.00°
Sites, in units of the cell vectors:
Eu: 0.000 0.000 0.000
Ga: 0.250 0.250 0.250
Au: 0.126 0.625 0.625
Au: 0.625 0.126 0.625
Au: 0.625 0.625 0.126
Au: 0.625 0.625 0.625

Values from the calculation:
DFT total energy: -28.61 eV per cell
energy of formation: -213 kJ/mol of formula units
magnetization: 6.9 μB per formula unit
density: 13.154 g cm⁻³



No. 7
DFT (PBE-GGA) results for an optimized crystal structure of SmTm2Pt.

Cell: 7.086 9.487 6.481 Å, 90.00 90.00 90.00°
Sites, in units of the cell vectors:
Sm: 0.021 0.250 0.130
Sm: 0.479 0.750 0.630
Sm: 0.521 0.250 0.370
Sm: 0.979 0.750 0.870
Tm: 0.177 0.062 0.675
Tm: 0.177 0.438 0.675
Tm: 0.323 0.562 0.175
Tm: 0.323 0.938 0.175
Tm: 0.677 0.062 0.825
Tm: 0.677 0.438 0.825
Tm: 0.823 0.562 0.325
Tm: 0.823 0.938 0.325
Pt: 0.114 0.750 0.435
Pt: 0.386 0.250 0.935
Pt: 0.614 0.750 0.065
Pt: 0.886 0.250 0.565

Values from the calculation:
DFT total energy: -90.30 eV per cell
energy of formation: -277 kJ/mol of formula units
magnetization: 0.0 μB per formula unit
energy relative to the lowest polymorph listed for this composition: 0.0000 eV/atom
density: 10.418 g cm⁻³



No. 8
DFT (PBE-GGA) results for an optimized crystal structure of LiZr2ReBi.

Cell: 4.735 4.735 4.422 Å, 90.00 90.00 90.00°
Sites, in units of the cell vectors:
Li: 0.000 0.000 0.000
Zr: 0.000 0.500 0.000
Zr: 0.500 0.000 0.000
Re: 0.500 0.500 0.500
Bi: 0.000 0.000 0.500

Values from the calculation:
DFT total energy: -30.91 eV per cell
energy of formation: 428 kJ/mol of formula units
magnetization: 0.7 μB per formula unit
density: 9.792 g cm⁻³



No. 9
DFT (PBE-GGA) results for an optimized crystal structure of LiCeTiO3.

Cell: 5.745 3.275 7.934 Å, 90.00 108.20 90.00°
Sites, in units of the cell vectors:
Li: 0.122 0.250 0.425
Li: 0.878 0.750 0.575
Ce: 0.494 0.750 0.775
Ce: 0.506 0.250 0.225
Ti: 0.022 0.250 0.874
Ti: 0.978 0.750 0.126
O: 0.186 0.250 0.675
O: 0.264 0.750 0.993
O: 0.289 0.750 0.339
O: 0.711 0.250 0.661
O: 0.736 0.250 0.007
O: 0.814 0.750 0.325

Values from the calculation:
DFT total energy: -92.72 eV per cell
magnetization: 0.2 μB per formula unit
density: 5.689 g cm⁻³
raw formation energy: -2.624 eV/atom



No. 10
DFT (PBE-GGA) results for an optimized crystal structure of CoH3Br.

Cell: 3.543 3.543 3.543 Å, 90.00 90.00 90.00°
Sites, in units of the cell vectors:
Co: 0.000 0.000 0.000
H: 0.000 0.000 0.500
H: 0.000 0.500 0.000
H: 0.500 0.000 0.000
Br: 0.500 0.500 0.500

Values from the calculation:
DFT total energy: -15.05 eV per cell
magnetization: 1.4 μB per formula unit
energy relative to the lowest polymorph listed for this composition: 0.0000 eV/atom
density: 5.297 g cm⁻³



No. 11
DFT (PBE-GGA) results for an optimized crystal structure of Y3BiC.

Cell: 8.863 8.863 6.986 Å, 94.16 94.16 70.32°
Sites, in units of the cell vectors:
Y: 0.009 0.228 0.152
Y: 0.020 0.392 0.676
Y: 0.228 0.009 0.652
Y: 0.306 0.410 0.067
Y: 0.392 0.020 0.176
Y: 0.410 0.306 0.567
Y: 0.590 0.694 0.433
Y: 0.608 0.980 0.824
Y: 0.694 0.590 0.933
Y: 0.772 0.991 0.348
Y: 0.980 0.608 0.324
Y: 0.991 0.772 0.848
Bi: 0.155 0.845 0.250
Bi: 0.350 0.650 0.750
Bi: 0.650 0.350 0.250
Bi: 0.845 0.155 0.750
C: 0.175 0.336 0.361
C: 0.336 0.175 0.861
C: 0.664 0.825 0.139
C: 0.825 0.664 0.639

Values from the calculation:
DFT total energy: -137.57 eV per cell
energy of formation: -183 kJ/mol of formula units
magnetization: 0.0 μB per formula unit
energy relative to the lowest polymorph listed for this composition: 0.1961 eV/atom
density: 6.294 g cm⁻³



No. 12
DFT (PBE-GGA) results for an optimized crystal structure of CeScRe.

Cell: 6.734 6.734 6.734 Å, 151.48 151.48 40.77°
Sites, in units of the cell vectors:
Ce: 0.000 0.000 0.000
Sc: 0.740 0.740 0.000
Re: 0.365 0.365 0.000

Values from the calculation:
DFT total energy: -24.66 eV per cell
energy of formation: 5 kJ/mol of formula units
magnetization: 0.0 μB per formula unit
density: 8.877 g cm⁻³